This record from Alexandria describes a relaxed Ce5Pb3C crystal. The functional is GGA-PBE. Values from VASP.

Quantum ESPRESSO input file:
```
&SYSTEM
  ibrav = 0, nat = 18, ntyp = 3
/
ATOMIC_SPECIES
Ce 140.12 Ce.upf
Pb 207.20 Pb.upf
C 12.01 C.upf
ATOMIC_POSITIONS angstrom
Ce 4.506 6.773 3.558
Ce -1.615 4.344 2.385
Ce 3.025 0.854 4.471
Ce 1.803 3.807 4.734
Ce -1.992 -1.264 4.930
Ce 1.091 2.106 0.981
Ce 0.203 1.153 7.543
Ce -2.095 0.761 1.272
Ce -7.360 1.764 4.643
Ce -3.215 1.689 5.193
Pb 4.229 3.265 2.546
Pb -1.212 4.183 6.053
Pb 1.368 5.614 1.993
Pb -0.200 1.313 3.875
Pb -4.625 3.084 2.541
Pb -4.830 -0.559 3.375
C -1.223 2.954 0.263
C 0.000 0.000 0.000
CELL_PARAMETERS angstrom
-2.445 5.907 0.527
-7.010 -3.382 5.389
8.043 2.971 4.012
```

Properties
- Spin magnetization: 3.91 μB per formula unit
- Formation energy from the elements: -3.71 eV per formula unit
- Calculated total energy: -107.5 eV/cell